[1]
BW2N, relaxed, DFT GGA-PBE; calculated density = 12.240 Mg/m³; size of the total moment = 0.00 μB per cell; energy relative to the lowest polymorph listed for this composition = 0.0 meV/atom; uncorrected formation energy = 0.346 eV per atom
1.0
4.686 0.000 0.000
0.000 4.686 0.000
2.343 2.343 4.849
B W N
2 4 2
Cartesian
2.343 2.343 0.000
2.343 4.686 2.424
3.585 1.172 1.212
1.101 3.515 1.212
3.515 3.445 3.637
5.858 5.928 3.637
0.000 0.000 0.000
4.686 2.343 2.424



[2]
PuAgBiO6, relaxed, DFT GGA-PBE; calculated density = 7.950 Mg/m³; size of the total moment = 1.09 μB per cell; uncorrected formation energy = -1.397 eV per atom
1.0
5.846 0.000 0.000
-2.923 5.063 0.000
0.000 0.000 9.271
Pu Ag Bi O
2 2 2 12
Cartesian
2.923 1.688 2.318
0.000 3.375 6.953
0.000 0.000 0.000
0.000 0.000 4.635
0.000 3.375 2.318
2.923 1.688 6.953
2.066 3.140 1.221
4.610 1.703 1.221
-0.830 4.844 5.857
-1.686 3.360 8.049
1.237 1.703 3.414
3.780 3.140 3.414
0.830 4.844 8.049
3.753 0.219 3.414
-0.857 1.922 5.857
2.093 0.219 1.221
1.686 3.360 5.857
0.857 1.922 8.049



[3]
Co2Si5Mo4, relaxed, DFT GGA-PBE; calculated density = 7.349 Mg/m³; size of the total moment = 0.00 μB per cell; uncorrected formation energy = -0.407 eV per atom
1.0
-0.835 -4.186 2.418
7.583 -0.817 1.204
-3.993 6.413 4.746
Co Si Mo
4 10 8
Cartesian
2.922 -2.013 4.989
-0.585 1.330 4.588
-0.168 3.423 3.379
3.340 0.080 3.780
-0.209 -1.046 0.604
-0.626 -3.139 1.813
3.891 -1.998 2.861
-1.137 3.408 5.507
-0.339 1.184 6.909
3.094 0.226 1.460
4.553 -0.470 5.734
-1.799 1.880 2.634
1.917 1.952 4.040
0.838 -0.542 4.328
-2.811 1.527 6.650
5.566 -0.118 1.719
1.444 -1.811 2.339
1.310 3.221 6.029
-1.457 -0.886 2.940
4.211 2.295 5.428
2.068 0.388 6.363
0.686 1.021 2.005



[4]
NaCrSiBr2, relaxed, DFT GGA-PBE; calculated density = 2.891 Mg/m³; size of the total moment = 5.05 μB per cell; energy relative to the lowest polymorph listed for this composition = 190.5 meV/atom; uncorrected formation energy = 0.694 eV per atom
1.0
-1.780 3.170 3.698
-4.513 1.131 -3.141
-2.519 -3.969 2.190
Cr Si Br Na
1 1 2 1
Cartesian
-2.257 0.566 -1.571
-4.406 0.166 1.373
-1.259 -1.985 1.095
-0.890 1.585 1.849
0.000 0.000 0.000



[5]
Zn3GeBi, relaxed, DFT GGA-PBE; calculated density = 5.215 Mg/m³; size of the total moment = 0.00 μB per cell; ΔE_f = 0.89 eV per atom; energy relative to the lowest polymorph listed for this composition = 488.9 meV/atom
1.0
5.339 0.000 0.000
0.000 5.339 0.000
0.000 0.000 5.339
Zn Ge Bi
3 1 1
Cartesian
0.000 2.669 0.000
0.000 0.000 2.669
2.669 0.000 0.000
2.669 2.669 2.669
0.000 0.000 0.000



[6]
Pm4Pr5Dy2, relaxed, DFT GGA-PBE; calculated density = 6.945 Mg/m³; size of the total moment = 0.00 μB per cell; ΔE_f = 0.08 eV per atom; energy relative to the lowest polymorph listed for this composition = 8.8 meV/atom
1.0
3.569 0.000 0.000
0.000 9.066 -0.017
0.000 -0.896 11.896
Pm Pr Dy
4 5 2
Cartesian
1.784 5.993 6.535
1.784 0.635 10.588
1.784 2.177 5.344
1.784 7.535 1.291
0.000 4.921 3.493
0.000 1.604 1.984
0.000 4.533 -0.008
0.000 6.566 9.895
0.000 3.249 8.386
0.000 -0.055 7.551
0.000 8.225 4.328



[7]
Na2Ca4Ni, relaxed, DFT GGA-PBE; calculated density = 1.645 Mg/m³; size of the total moment = 0.00 μB per cell; ΔE_f = 0.06 eV per atom
1.0
-1.765 -3.887 -3.418
-2.003 -2.817 4.237
-5.922 7.637 -1.252
Ni Ca Na
1 4 2
Cartesian
0.000 0.000 0.000
-7.250 -0.406 -0.169
-2.440 1.340 -0.263
-1.002 -1.408 2.119
-0.882 -1.943 -1.709
-4.086 -2.143 0.172
-5.605 3.076 -0.605



[8]
CaSnSb2Br, relaxed, DFT GGA-PBE; calculated density = 4.107 Mg/m³; size of the total moment = 0.00 μB per cell; uncorrected formation energy = 0.077 eV per atom
1.0
5.548 0.000 0.000
0.000 6.335 0.000
0.000 0.000 5.548
Sb Ca Sn Br
2 1 1 1
Cartesian
0.000 0.000 2.774
2.774 0.000 0.000
0.000 3.168 0.000
0.000 0.000 0.000
2.774 3.168 2.774